P:
Here is crystalline TlInSn at its relaxed geometry from Alexandria via LeMat-Bulk. Energies are from PBE.

Lattice parameters (Å, degrees): 12.6653 3.2311 9.5734 90.00 116.69 90.00
Fractional positions:
Tl  0.1287  0.0000  0.0025
Tl  0.3713  0.5000  0.9975
Tl  0.6287  0.5000  0.0025
Tl  0.8713  0.0000  0.9975
In  0.1210  0.5000  0.6692
In  0.3790  0.0000  0.3308
In  0.6210  0.0000  0.6692
In  0.8790  0.5000  0.3308
Sn  0.1294  0.0000  0.3644
Sn  0.3706  0.5000  0.6356
Sn  0.6294  0.5000  0.3644
Sn  0.8706  0.0000  0.6356

Output
crystal system: monoclinic



Q:
Here is crystalline TlInSn at its relaxed geometry from Alexandria via LeMat-Bulk. Energies are from PBE.

Lattice parameters (Å, degrees): 7.3180 7.3180 7.3180 90.00 90.00 90.00
Fractional positions:
Tl  0.0000  0.0000  0.0000
Tl  0.0000  0.5000  0.5000
Tl  0.5000  0.0000  0.5000
Tl  0.5000  0.5000  0.0000
In  0.0000  0.0000  0.5000
In  0.0000  0.5000  0.0000
In  0.5000  0.0000  0.0000
In  0.5000  0.5000  0.5000
Sn  0.2500  0.2500  0.2500
Sn  0.2500  0.7500  0.7500
Sn  0.7500  0.2500  0.7500
Sn  0.7500  0.7500  0.2500

Output
crystal system: cubic



Computed stability ranking, most favorable first: P, Q



P:
Here is crystalline Tl7In3Sn at its relaxed geometry from Alexandria via LeMat-Bulk. Energies are from PBE.

Lattice parameters (Å, degrees): 16.9035 16.9035 12.4437 90.00 90.00 168.76
Fractional positions:
Tl  0.0036  0.9964  0.6262
Tl  0.0036  0.9964  0.8738
Tl  0.1261  0.8739  0.2500
Tl  0.1491  0.8509  0.5978
Tl  0.1491  0.8509  0.9022
Tl  0.2148  0.7852  0.0879
Tl  0.2148  0.7852  0.4121
Tl  0.7852  0.2148  0.5879
Tl  0.7852  0.2148  0.9121
Tl  0.8509  0.1491  0.0978
Tl  0.8509  0.1491  0.4022
Tl  0.8739  0.1261  0.7500
Tl  0.9964  0.0036  0.1262
Tl  0.9964  0.0036  0.3738
In  0.2858  0.7142  0.2500
In  0.4219  0.5781  0.5361
In  0.4219  0.5781  0.9639
In  0.5781  0.4219  0.0361
In  0.5781  0.4219  0.4639
In  0.7142  0.2858  0.7500
Sn  0.4189  0.5811  0.2500
Sn  0.5811  0.4189  0.7500

Output
crystal system: orthorhombic



Q:
Here is crystalline Tl7In3Sn at its relaxed geometry from Alexandria via LeMat-Bulk. Energies are from PBE.

Lattice parameters (Å, degrees): 6.9038 6.9038 8.2188 90.00 90.00 120.00
Fractional positions:
Tl  0.0000  0.0000  0.0000
Tl  0.0042  0.5021  0.9758
Tl  0.1706  0.3412  0.3399
Tl  0.1706  0.8294  0.3399
Tl  0.4979  0.5021  0.9758
Tl  0.4979  0.9958  0.9758
Tl  0.6588  0.8294  0.3399
In  0.3372  0.1686  0.6552
In  0.8314  0.1686  0.6552
In  0.8314  0.6628  0.6552
Sn  0.6667  0.3333  0.3215

Output
crystal system: trigonal



Computed stability ranking, most favorable first: Q, P



P:
Here is crystalline Tl5In4Sn2 at its relaxed geometry from Alexandria via LeMat-Bulk. Energies are from PBE.

Lattice parameters (Å, degrees): 14.0811 14.0811 14.0811 166.80 145.31 37.27
Fractional positions:
Tl  0.0000  0.0000  0.0000
Tl  0.1636  0.3846  0.7790
Tl  0.3943  0.6154  0.7790
Tl  0.6057  0.3846  0.2210
Tl  0.8364  0.6154  0.2210
In  0.3004  0.8004  0.5000
In  0.3265  0.5000  0.8265
In  0.6735  0.5000  0.1735
In  0.6996  0.1996  0.5000
Sn  0.1902  0.6902  0.5000
Sn  0.8098  0.3098  0.5000

Output
crystal system: orthorhombic



Q:
Here is crystalline Tl5In4Sn2 at its relaxed geometry from Alexandria via LeMat-Bulk. Energies are from PBE.

Lattice parameters (Å, degrees): 12.0158 12.0158 8.8587 91.36 91.36 15.55
Fractional positions:
Tl  0.0000  0.0000  0.0000
Tl  0.3184  0.3184  0.0445
Tl  0.3718  0.3718  0.4208
Tl  0.6282  0.6282  0.5792
Tl  0.6816  0.6816  0.9555
In  0.1128  0.1128  0.2300
In  0.4976  0.4976  0.6718
In  0.5024  0.5024  0.3282
In  0.8872  0.8872  0.7700
Sn  0.2348  0.2348  0.3452
Sn  0.7652  0.7652  0.6548

Output
crystal system: monoclinic



Computed stability ranking, most favorable first: Q, P



P:
Here is crystalline TlInSn2 at its relaxed geometry from Alexandria via LeMat-Bulk. Energies are from PBE.

Lattice parameters (Å, degrees): 3.1522 11.5083 3.1885 90.00 90.00 90.00
Fractional positions:
Tl  0.0000  0.0000  0.0000
In  0.5000  0.5000  0.9973
Sn  0.5000  0.2515  0.4973
Sn  0.5000  0.7485  0.4973

Output
crystal system: orthorhombic



Q:
Here is crystalline TlInSn2 at its relaxed geometry from Alexandria via LeMat-Bulk. Energies are from PBE.

Lattice parameters (Å, degrees): 7.6652 7.6652 7.6652 90.00 90.00 90.00
Fractional positions:
Tl  0.0000  0.0000  0.0000
Tl  0.0000  0.5000  0.5000
Tl  0.5000  0.0000  0.5000
Tl  0.5000  0.5000  0.0000
In  0.0000  0.0000  0.5000
In  0.0000  0.5000  0.0000
In  0.5000  0.0000  0.0000
In  0.5000  0.5000  0.5000
Sn  0.2500  0.2500  0.2500
Sn  0.2500  0.2500  0.7500
Sn  0.2500  0.7500  0.2500
Sn  0.2500  0.7500  0.7500
Sn  0.7500  0.2500  0.2500
Sn  0.7500  0.2500  0.7500
Sn  0.7500  0.7500  0.2500
Sn  0.7500  0.7500  0.7500

Output
crystal system: cubic



Computed stability ranking, most favorable first: P, Q



P:
Here is crystalline Tl2InSn4 at its relaxed geometry from Alexandria via LeMat-Bulk. Energies are from PBE.

Lattice parameters (Å, degrees): 6.0058 12.6840 5.9378 90.00 90.00 90.00
Fractional positions:
Tl  0.0000  0.1397  0.0000
Tl  0.0000  0.8603  0.0000
Tl  0.5000  0.3603  0.0000
Tl  0.5000  0.6397  0.0000
In  0.0000  0.5000  0.5000
In  0.5000  0.0000  0.5000
Sn  0.0000  0.1189  0.5000
Sn  0.0000  0.3851  0.0000
Sn  0.0000  0.6149  0.0000
Sn  0.0000  0.8811  0.5000
Sn  0.5000  0.1149  0.0000
Sn  0.5000  0.3811  0.5000
Sn  0.5000  0.6189  0.5000
Sn  0.5000  0.8851  0.0000

Output
crystal system: orthorhombic



Q:
Here is crystalline Tl2InSn4 at its relaxed geometry from Alexandria via LeMat-Bulk. Energies are from PBE.

Lattice parameters (Å, degrees): 4.6706 25.5275 3.4322 90.00 90.00 90.00
Fractional positions:
Tl  0.0000  0.2040  0.0000
Tl  0.0000  0.7960  0.0000
Tl  0.5000  0.2960  0.0000
Tl  0.5000  0.7040  0.0000
In  0.0000  0.5000  0.5000
In  0.5000  0.0000  0.5000
Sn  0.0000  0.0671  0.0000
Sn  0.0000  0.3679  0.5000
Sn  0.0000  0.6321  0.5000
Sn  0.0000  0.9329  0.0000
Sn  0.5000  0.1321  0.5000
Sn  0.5000  0.4329  0.0000
Sn  0.5000  0.5671  0.0000
Sn  0.5000  0.8679  0.5000

Output
crystal system: orthorhombic



Computed stability ranking, most favorable first: Q, P



P:
Here is crystalline TlIn6Sn2 at its relaxed geometry from Alexandria via LeMat-Bulk. Energies are from PBE.

Lattice parameters (Å, degrees): 5.0016 5.0016 10.7904 90.00 90.00 90.00
Fractional positions:
Tl  0.0000  0.0000  0.0000
In  0.0000  0.0000  0.5000
In  0.0000  0.5000  0.2998
In  0.0000  0.5000  0.7002
In  0.5000  0.0000  0.2998
In  0.5000  0.0000  0.7002
In  0.5000  0.5000  0.5000
Sn  0.5000  0.5000  0.1340
Sn  0.5000  0.5000  0.8660

Output
crystal system: tetragonal



Q:
Here is crystalline TlIn6Sn2 at its relaxed geometry from Alexandria via LeMat-Bulk. Energies are from PBE.

Lattice parameters (Å, degrees): 9.8259 9.8259 5.1867 90.00 90.00 90.00
Fractional positions:
Tl  0.0000  0.0000  0.0000
Tl  0.5000  0.5000  0.5000
In  0.0039  0.3363  0.0000
In  0.1637  0.5039  0.5000
In  0.1651  0.8349  0.5000
In  0.3349  0.3349  0.0000
In  0.3363  0.0039  0.0000
In  0.4961  0.8363  0.5000
In  0.5039  0.1637  0.5000
In  0.6637  0.9961  0.0000
In  0.6651  0.6651  0.0000
In  0.8349  0.1651  0.5000
In  0.8363  0.4961  0.5000
In  0.9961  0.6637  0.0000
Sn  0.1736  0.1736  0.5000
Sn  0.3264  0.6736  0.0000
Sn  0.6736  0.3264  0.0000
Sn  0.8264  0.8264  0.5000

Output
crystal system: tetragonal



Computed stability ranking, most favorable first: Q, P